Entry 1:
Ni3AsPd: optimized geometry, PBEsol.

Properties
total energy	-5.343	eV per atom

Unit cell a=4.222 b=4.222 c=4.222 alpha=90.00 beta=90.00 gamma=90.00
Fractional coordinates of all 5 atoms:
As 0.000 0.000 0.000
Ni 0.500 0.000 0.000
Ni 0.000 0.000 0.500
Ni 0.000 0.500 0.000
Pd 0.500 0.500 0.500

---

Entry 2:
Ni2AsPdS: optimized geometry, PBEsol.

Properties
total energy	-4.940	eV per atom

Unit cell a=4.278 b=4.278 c=4.623 alpha=90.00 beta=90.00 gamma=90.00
Fractional coordinates of all 5 atoms:
Ni 0.500 0.000 0.000
Ni 0.000 0.500 0.000
As 0.000 0.000 0.000
S 0.500 0.500 0.500
Pd 0.000 0.000 0.500

---

Entry 3:
NiAsPdSe2: optimized geometry, PBEsol.

Properties
total energy	-4.088	eV per atom

Unit cell a=4.593 b=4.928 c=4.928 alpha=90.00 beta=90.00 gamma=90.00
Fractional coordinates of all 5 atoms:
Se 0.000 0.000 0.500
Se 0.000 0.500 0.000
As 0.500 0.000 0.000
Pd 0.000 0.000 0.000
Ni 0.500 0.500 0.500

---

Entry 4:
PrNi2As2: optimized geometry, PBEsol.

Properties
total energy	-6.425	eV per atom

Unit cell a=4.178 b=4.178 c=9.329 alpha=90.00 beta=90.00 gamma=90.00
Fractional coordinates of all 10 atoms:
Ni 0.500 0.000 0.881
Ni 0.000 0.500 0.119
Ni 0.000 0.000 0.500
Ni 0.500 0.500 0.500
As 0.500 0.500 0.000
As 0.000 0.000 0.000
As 0.000 0.500 0.373
As 0.500 0.000 0.627
Pr 0.000 0.500 0.747
Pr 0.500 0.000 0.253

---

Calculated total moment, 0.8, 0.0, 1.2, 0.0 Bohr magnetons per cell (same order as the records).